Entry 1:
DFT (GGA-PBE) results for a relaxed Ca3PuO6 crystal.

a = 5.831 Å, b = 5.831 Å, c = 10.423 Å
α = 90.00°, β = 90.00°, γ = 120.00°
Atoms (fractional coordinates):
Pu 0.333 0.667 0.250
O 0.683 0.062 0.625
Ca 0.333 0.667 0.939
O 0.317 0.938 0.125
O 0.062 0.683 0.375
Ca 0.667 0.333 0.439
O 0.938 0.621 0.625
O 0.062 0.379 0.125
Ca 0.000 0.000 0.500
O 0.683 0.621 0.875
Ca 0.667 0.333 0.061
O 0.938 0.317 0.875
Ca 0.333 0.667 0.561
O 0.621 0.683 0.125
O 0.379 0.062 0.875
Ca 0.000 0.000 0.000
Pu 0.667 0.333 0.750
O 0.621 0.938 0.375
O 0.317 0.379 0.375
O 0.379 0.317 0.625

Properties
Formation energy from raw total energies, kJ/mol of formula units: -2657
Volume, Å³ per atom: 15.3
SG: P6_322 (182)
ρ, g/cm3: 4.98

***

Entry 2:
DFT (GGA-PBE) results for a relaxed Ca5Pu2O12 crystal.

a = 6.637 Å, b = 6.887 Å, c = 7.555 Å
α = 101.60°, β = 90.00°, γ = 118.81°
Atoms (fractional coordinates):
Ca 0.000 0.000 0.500
O 0.992 0.983 0.177
Ca 0.303 0.606 0.644
O 0.090 0.677 0.440
Ca 0.699 0.399 0.788
O 0.413 0.323 0.560
Pu 0.248 0.000 0.000
Ca 0.697 0.394 0.356
O 0.491 0.982 0.180
O 0.509 0.018 0.820
Ca 0.301 0.601 0.212
Pu 0.752 0.000 0.000
O 0.901 0.322 0.082
O 0.910 0.323 0.560
O 0.099 0.678 0.918
O 0.579 0.678 0.918
O 0.421 0.322 0.082
O 0.008 0.017 0.823
O 0.587 0.677 0.440

Properties
Formation energy from raw total energies, kJ/mol of formula units: -4731
Volume, Å³ per atom: 15.5
SG: C2/m (12)
ρ, g/cm3: 4.96

***

Entry 3:
DFT (GGA-PBE) results for a relaxed Ca6PuO8 crystal.

a = 6.877 Å, b = 6.877 Å, c = 6.877 Å
α = 60.00°, β = 60.00°, γ = 60.00°
Atoms (fractional coordinates):
O 0.228 0.772 0.228
Ca 0.000 0.500 0.500
O 0.228 0.772 0.772
O 0.772 0.228 0.228
O 0.772 0.772 0.228
Ca 0.500 0.000 0.000
Ca 0.500 0.000 0.500
Pu 0.000 0.000 0.000
Ca 0.500 0.500 0.000
O 0.772 0.228 0.772
O 0.228 0.228 0.772
Ca 0.000 0.000 0.500
O 0.750 0.750 0.750
O 0.250 0.250 0.250
Ca 0.000 0.500 0.000

Properties
Formation energy from raw total energies, kJ/mol of formula units: -4267
Volume, Å³ per atom: 15.3
SG: Fm-3m (225)
ρ, g/cm3: 4.42